Record 1
# CdAu meta-GGA SCAN single point on PBEsol structure
# **Crystal system**: trigonal
# **DFT total energy**: -900.459 eV for the cell shown
# **Fermi-level density of states**: 3.3 states/eV/cell
# **Total moment**: 0.000 μB/cell
data_CdAu
_space_group_name_H-M_alt 'P 3 1 m'
_space_group_IT_number 157
_space_group_name_Hall 'P 3 -2'
_cell_length_a 8.1064
_cell_length_b 8.1064
_cell_length_c 5.7606
_cell_angle_alpha 90.00
_cell_angle_beta 90.00
_cell_angle_gamma 120.00
loop_
_atom_site_label
_atom_site_fract_x
_atom_site_fract_y
_atom_site_fract_z
Cd1 0.0000 0.0000 0.0000
Cd2 0.0000 0.3527 0.5462
Cd3 0.0000 0.6876 0.2627
Cd4 0.3333 0.6667 0.8250
Au1 0.0000 0.0000 0.5061
Au2 0.0000 0.3609 0.0454
Au3 0.0000 0.6910 0.7650
Au4 0.3333 0.6667 0.3192

***

Record 2
# Rb3TlCl6 meta-GGA SCAN single point on PBEsol structure
# **Formation energy from raw total energies**: -1.67 eV per atom
# **Crystal system**: monoclinic
# **Fermi-level density of states**: 0.0 states/eV/cell
# **Total moment**: 0.000 μB/cell
data_Rb3TlCl6
_space_group_name_H-M_alt 'P 1 21/c 1'
_space_group_IT_number 14
_space_group_name_Hall '-P 2ybc'
_cell_length_a 13.168
_cell_length_b 7.902
_cell_length_c 12.433
_cell_angle_alpha 90.00
_cell_angle_beta 107.72
_cell_angle_gamma 90.00
loop_
_atom_site_label
_atom_site_fract_x
_atom_site_fract_y
_atom_site_fract_z
Rb1 0.091 0.061 0.354
Rb2 0.318 0.072 0.118
Rb3 0.318 0.570 0.265
Tl1 0.000 0.000 0.000
Tl2 0.500 0.000 0.500
Cl1 0.095 0.224 0.605
Cl2 0.126 0.004 0.878
Cl3 0.129 0.684 0.654
Cl4 0.348 0.209 0.394
Cl5 0.349 0.704 0.008
Cl6 0.500 0.137 0.692

***

Record 3
# SbSeBr meta-GGA SCAN single point on PBEsol structure
# **Formation energy from raw total energies**: -0.43 eV per atom
# **Crystal system**: orthorhombic
# **Fermi-level density of states**: 0.0 states/eV/cell
# **Total moment**: 0.000 μB/cell
data_SbSeBr
_space_group_name_H-M_alt 'P n m a'
_space_group_IT_number 62
_space_group_name_Hall '-P 2ac 2n'
_cell_length_a 8.180
_cell_length_b 3.979
_cell_length_c 10.417
_cell_angle_alpha 90.00
_cell_angle_beta 90.00
_cell_angle_gamma 90.00
loop_
_atom_site_label
_atom_site_fract_x
_atom_site_fract_y
_atom_site_fract_z
Sb1 0.120 0.250 0.135
Se1 0.182 0.750 0.956
Br1 0.030 0.250 0.692

***

Which formula does entry 1 have? CdAu